Model i:
Ti4InH: optimized geometry, PBE.

Output
**Symmetry**: C2/m
**Crystal system**: monoclinic
**Magnetization**: 0.00 μB/f.u.

Lattice parameters (Å, degrees): 4.8448 5.7040 7.6402 111.92 108.32 90.00
Fractional positions:
1 H 0.2995 0.5769 0.1537
2 H 0.7005 0.4231 0.8463
3 Ti 0.0000 0.2578 0.0000
4 Ti 0.8038 0.3035 0.6070
5 Ti 0.1962 0.6965 0.3930
6 Ti 0.3887 0.1404 0.7835
7 Ti 0.6113 0.3569 0.2165
8 Ti 0.3887 0.6431 0.7835
9 Ti 0.6113 0.8596 0.2165
10 Ti 0.0000 0.7422 0.0000
11 In 0.1903 0.1888 0.3776
12 In 0.8097 0.8112 0.6224

***

Model ii:
Ti4InH: optimized geometry, PBE.

Output
**Symmetry**: Cmcm
**Crystal system**: orthorhombic
**Magnetization**: 0.00 μB/f.u.

Lattice parameters (Å, degrees): 2.8995 8.7987 7.8235 90.00 100.68 90.00
Fractional positions:
1 Ti 0.0844 0.7805 0.1687
2 Ti 0.9156 0.2805 0.8313
3 Ti 0.5000 0.0306 0.0000
4 Ti 0.3227 0.0610 0.6453
5 Ti 0.5000 0.5306 0.0000
6 Ti 0.6773 0.0001 0.3546
7 Ti 0.3227 0.5001 0.6454
8 Ti 0.6773 0.5610 0.3547
9 H 0.6668 0.7805 0.3335
10 H 0.3332 0.2805 0.6665
11 In 0.8871 0.7806 0.7742
12 In 0.1129 0.2806 0.2258

***

The structure with the least stability is model ii.